w:
Compound: TbPaFe
Source: Alexandria via LeMat-Bulk
Functional: PBE-GGA
Structure: relaxed

Results
For the spin magnetization, the calculation gives 0.00 μB/f.u. As for the space group: No. 14.

Cell: 6.1875 6.5937 6.6977 Å, 90.00 99.62 90.00°
Sites, in units of the cell vectors:
Tb1 0.0152 0.1784 0.3262
Tb2 0.0152 0.3216 0.8262
Tb3 0.9848 0.6784 0.1738
Tb4 0.9848 0.8216 0.6738
Pa1 0.4963 0.6785 0.8007
Pa2 0.4963 0.8215 0.3007
Pa3 0.5037 0.1785 0.6993
Pa4 0.5037 0.3215 0.1993
Fe1 0.3023 0.0154 0.0435
Fe2 0.3023 0.4846 0.5435
Fe3 0.6977 0.5154 0.4565
Fe4 0.6977 0.9846 0.9565

***

x:
Compound: TbPaFe
Source: Alexandria via LeMat-Bulk
Functional: PBE-GGA
Structure: relaxed

Results
For the spin magnetization, the calculation gives 0.00 μB/f.u. As for the space group: No. 156.

Cell: 3.6525 3.6525 6.1322 Å, 90.00 90.00 120.00°
Sites, in units of the cell vectors:
Tb1 0.0000 0.0000 0.0000
Pa1 0.6667 0.3333 0.4851
Fe1 0.3333 0.6667 0.6896

***

Stability verdict: w, ahead by 0.096 eV/atom

***

w:
Compound: PaFeTe2
Source: Alexandria via LeMat-Bulk
Functional: PBE-GGA
Structure: relaxed

Results
For the spin magnetization, the calculation gives 0.36 μB/f.u. As for the space group: No. 44.

Cell: 3.9879 10.0987 4.7711 Å, 90.00 90.00 90.00°
Sites, in units of the cell vectors:
Pa1 0.0000 0.0000 0.0000
Pa2 0.5000 0.5000 0.5000
Fe1 0.0000 0.0000 0.5501
Fe2 0.5000 0.5000 0.0501
Te1 0.0000 0.3376 0.9644
Te2 0.0000 0.6624 0.9644
Te3 0.5000 0.1624 0.4644
Te4 0.5000 0.8376 0.4644

***

x:
Compound: PaFeTe2
Source: Alexandria via LeMat-Bulk
Functional: PBE-GGA
Structure: relaxed

Results
For the spin magnetization, the calculation gives 4.24 μB/f.u. As for the space group: No. 166.

Cell: 3.8463 3.8463 28.0243 Å, 90.00 90.00 120.00°
Sites, in units of the cell vectors:
Pa1 0.0000 0.0000 0.0000
Pa2 0.3333 0.6667 0.6667
Pa3 0.6667 0.3333 0.3333
Fe1 0.0000 0.0000 0.5000
Fe2 0.3333 0.6667 0.1667
Fe3 0.6667 0.3333 0.8333
Te1 0.0000 0.0000 0.4097
Te2 0.0000 0.0000 0.5903
Te3 0.3333 0.6667 0.0764
Te4 0.3333 0.6667 0.2570
Te5 0.6667 0.3333 0.7430
Te6 0.6667 0.3333 0.9236

***

Stability verdict: w, ahead by 0.604 eV/atom

***

w:
Compound: ThPa2Fe
Source: Alexandria via LeMat-Bulk
Functional: PBE-GGA
Structure: relaxed

Results
For the spin magnetization, the calculation gives 0.00 μB/f.u. As for the space group: No. 11.

Cell: 3.5233 9.3841 5.8919 Å, 90.00 107.30 90.00°
Sites, in units of the cell vectors:
Th1 0.0844 0.2500 0.1702
Th2 0.9156 0.7500 0.8298
Pa1 0.3612 0.0601 0.7212
Pa2 0.3612 0.4399 0.7212
Pa3 0.6388 0.5601 0.2788
Pa4 0.6388 0.9399 0.2788
Fe1 0.1936 0.7500 0.3865
Fe2 0.8064 0.2500 0.6135

***

x:
Compound: ThPa2Fe
Source: Alexandria via LeMat-Bulk
Functional: PBE-GGA
Structure: relaxed

Results
For the spin magnetization, the calculation gives 0.00 μB/f.u. As for the space group: No. 123.

Cell: 3.4609 3.4609 7.6877 Å, 90.00 90.00 90.00°
Sites, in units of the cell vectors:
Th1 0.0000 0.0000 0.0000
Pa1 0.5000 0.5000 0.3128
Pa2 0.5000 0.5000 0.6872
Fe1 0.0000 0.0000 0.5000

***

y:
Compound: ThPa2Fe
Source: Alexandria via LeMat-Bulk
Functional: PBE-GGA
Structure: relaxed

Results
For the spin magnetization, the calculation gives 0.00 μB/f.u. As for the space group: No. 160.

Cell: 3.5808 3.5808 26.5239 Å, 90.00 90.00 120.00°
Sites, in units of the cell vectors:
Th1 0.0000 0.0000 0.0000
Th2 0.3333 0.6667 0.6667
Th3 0.6667 0.3333 0.3333
Pa1 0.0000 0.0000 0.5604
Pa2 0.0000 0.0000 0.7740
Pa3 0.3333 0.6667 0.2271
Pa4 0.3333 0.6667 0.4406
Pa5 0.6667 0.3333 0.1073
Pa6 0.6667 0.3333 0.8937
Fe1 0.0000 0.0000 0.1695
Fe2 0.3333 0.6667 0.8361
Fe3 0.6667 0.3333 0.5028

***

z:
Compound: ThPa2Fe
Source: Alexandria via LeMat-Bulk
Functional: PBE-GGA
Structure: relaxed

Results
For the spin magnetization, the calculation gives 0.00 μB/f.u. As for the space group: No. 166.

Cell: 4.2005 4.2005 18.3853 Å, 90.00 90.00 120.00°
Sites, in units of the cell vectors:
Th1 0.0000 0.0000 0.0000
Th2 0.3333 0.6667 0.6667
Th3 0.6667 0.3333 0.3333
Pa1 0.0000 0.0000 0.2313
Pa2 0.0000 0.0000 0.7687
Pa3 0.3333 0.6667 0.4353
Pa4 0.3333 0.6667 0.8980
Pa5 0.6667 0.3333 0.1020
Pa6 0.6667 0.3333 0.5647
Fe1 0.0000 0.0000 0.5000
Fe2 0.3333 0.6667 0.1667
Fe3 0.6667 0.3333 0.8333

***

Stability verdict: w, ahead by 0.171 eV/atom

***

w:
Compound: TmPa2Fe
Source: Alexandria via LeMat-Bulk
Functional: PBE-GGA
Structure: relaxed

Results
For the spin magnetization, the calculation gives 0.00 μB/f.u. As for the space group: No. 166.

Cell: 3.5648 3.5648 25.9806 Å, 90.00 90.00 120.00°
Sites, in units of the cell vectors:
Tm1 0.0000 0.0000 0.0000
Tm2 0.3333 0.6667 0.6667
Tm3 0.6667 0.3333 0.3333
Pa1 0.0000 0.0000 0.2277
Pa2 0.0000 0.0000 0.7723
Pa3 0.3333 0.6667 0.4390
Pa4 0.3333 0.6667 0.8943
Pa5 0.6667 0.3333 0.1057
Pa6 0.6667 0.3333 0.5610
Fe1 0.0000 0.0000 0.5000
Fe2 0.3333 0.6667 0.1667
Fe3 0.6667 0.3333 0.8333

***

x:
Compound: TmPa2Fe
Source: Alexandria via LeMat-Bulk
Functional: PBE-GGA
Structure: relaxed

Results
For the spin magnetization, the calculation gives 0.00 μB/f.u. As for the space group: No. 123.

Cell: 3.4113 3.4113 7.8575 Å, 90.00 90.00 90.00°
Sites, in units of the cell vectors:
Tm1 0.0000 0.0000 0.0000
Pa1 0.5000 0.5000 0.3183
Pa2 0.5000 0.5000 0.6817
Fe1 0.0000 0.0000 0.5000

***

Stability verdict: w, ahead by 0.048 eV/atom

***

w:
Compound: TmPaFe
Source: Alexandria via LeMat-Bulk
Functional: PBE-GGA
Structure: relaxed

Results
For the spin magnetization, the calculation gives 0.00 μB/f.u. As for the space group: No. 14.

Cell: 5.9577 6.5974 6.7893 Å, 90.00 90.84 90.00°
Sites, in units of the cell vectors:
Tm1 0.1334 0.1591 0.3175
Tm2 0.1334 0.3409 0.8175
Tm3 0.8666 0.6591 0.1825
Tm4 0.8666 0.8409 0.6825
Pa1 0.3633 0.6975 0.4672
Pa2 0.3633 0.8025 0.9672
Pa3 0.6367 0.1975 0.0328
Pa4 0.6367 0.3025 0.5328
Fe1 0.3780 0.5113 0.1679
Fe2 0.3780 0.9887 0.6679
Fe3 0.6220 0.0113 0.3321
Fe4 0.6220 0.4887 0.8321

***

x:
Compound: TmPaFe
Source: Alexandria via LeMat-Bulk
Functional: PBE-GGA
Structure: relaxed

Results
For the spin magnetization, the calculation gives 0.00 μB/f.u. As for the space group: No. 107.

Cell: 3.3664 3.3664 10.9691 Å, 90.00 90.00 90.00°
Sites, in units of the cell vectors:
Tm1 0.0000 0.0000 0.0000
Tm2 0.5000 0.5000 0.5000
Pa1 0.0000 0.0000 0.2921
Pa2 0.5000 0.5000 0.7921
Fe1 0.0000 0.0000 0.6911
Fe2 0.5000 0.5000 0.1911

***

Stability verdict: w, ahead by 0.127 eV/atom

***

w:
Compound: TmPaFe
Source: Alexandria via LeMat-Bulk
Functional: PBE-GGA
Structure: relaxed

Results
For the spin magnetization, the calculation gives 0.00 μB/f.u. As for the space group: No. 62.

Cell: 5.8498 3.6397 12.5458 Å, 90.00 90.00 90.00°
Sites, in units of the cell vectors:
Tm1 0.1281 0.2500 0.1033
Tm2 0.3719 0.7500 0.6033
Tm3 0.6281 0.2500 0.3967
Tm4 0.8719 0.7500 0.8967
Pa1 0.1274 0.7500 0.3445
Pa2 0.3726 0.2500 0.8445
Pa3 0.6274 0.7500 0.1555
Pa4 0.8726 0.2500 0.6555
Fe1 0.1384 0.2500 0.4632
Fe2 0.3616 0.7500 0.9632
Fe3 0.6384 0.2500 0.0368
Fe4 0.8616 0.7500 0.5368

***

x:
Compound: TmPaFe
Source: Alexandria via LeMat-Bulk
Functional: PBE-GGA
Structure: relaxed

Results
For the spin magnetization, the calculation gives 0.00 μB/f.u. As for the space group: No. 187.

Cell: 4.0390 4.0390 4.9848 Å, 90.00 90.00 120.00°
Sites, in units of the cell vectors:
Tm1 0.0000 0.0000 0.0000
Pa1 0.6667 0.3333 0.5000
Fe1 0.3333 0.6667 0.5000

***

Stability verdict: w, ahead by 0.230 eV/atom

***

w:
Compound: PaV2Fe
Source: Alexandria via LeMat-Bulk
Functional: PBE-GGA
Structure: relaxed

Results
For the spin magnetization, the calculation gives 0.85 μB/f.u. As for the space group: No. 123.

Cell: 3.2097 3.2097 6.0338 Å, 90.00 90.00 90.00°
Sites, in units of the cell vectors:
Pa1 0.0000 0.0000 0.0000
V1 0.5000 0.5000 0.2705
V2 0.5000 0.5000 0.7295
Fe1 0.0000 0.0000 0.5000

***

x:
Compound: PaV2Fe
Source: Alexandria via LeMat-Bulk
Functional: PBE-GGA
Structure: relaxed

Results
For the spin magnetization, the calculation gives 0.09 μB/f.u. As for the space group: No. 225.

Cell: 6.1752 6.1752 6.1752 Å, 90.00 90.00 90.00°
Sites, in units of the cell vectors:
Pa1 0.0000 0.0000 0.0000
Pa2 0.0000 0.5000 0.5000
Pa3 0.5000 0.0000 0.5000
Pa4 0.5000 0.5000 0.0000
V1 0.2500 0.2500 0.2500
V2 0.2500 0.2500 0.7500
V3 0.2500 0.7500 0.2500
V4 0.2500 0.7500 0.7500
V5 0.7500 0.2500 0.2500
V6 0.7500 0.2500 0.7500
V7 0.7500 0.7500 0.2500
V8 0.7500 0.7500 0.7500
Fe1 0.0000 0.0000 0.5000
Fe2 0.0000 0.5000 0.0000
Fe3 0.5000 0.0000 0.0000
Fe4 0.5000 0.5000 0.5000

***

Stability verdict: x, ahead by 0.130 eV/atom

***

w:
Compound: YPaFe2
Source: Alexandria via LeMat-Bulk
Functional: PBE-GGA
Structure: relaxed

Results
For the spin magnetization, the calculation gives 0.00 μB/f.u. As for the space group: No. 62.

Cell: 7.9043 3.9174 9.9759 Å, 90.00 90.00 90.00°
Sites, in units of the cell vectors:
Y1 0.0980 0.2500 0.1233
Y2 0.4020 0.7500 0.6233
Y3 0.5980 0.2500 0.3767
Y4 0.9020 0.7500 0.8767
Pa1 0.0610 0.2500 0.6266
Pa2 0.4390 0.7500 0.1266
Pa3 0.5609 0.2500 0.8734
Pa4 0.9390 0.7500 0.3734
Fe1 0.1920 0.2500 0.8166
Fe2 0.1938 0.2500 0.4314
Fe3 0.3062 0.7500 0.9314
Fe4 0.3080 0.7500 0.3166
Fe5 0.6920 0.2500 0.6834
Fe6 0.6938 0.2500 0.0686
Fe7 0.8062 0.7500 0.5686
Fe8 0.8080 0.7500 0.1834

***

x:
Compound: YPaFe2
Source: Alexandria via LeMat-Bulk
Functional: PBE-GGA
Structure: relaxed

Results
For the spin magnetization, the calculation gives 1.07 μB/f.u. As for the space group: No. 225.

Cell: 6.6747 6.6747 6.6747 Å, 90.00 90.00 90.00°
Sites, in units of the cell vectors:
Y1 0.0000 0.0000 0.0000
Y2 0.0000 0.5000 0.5000
Y3 0.5000 0.0000 0.5000
Y4 0.5000 0.5000 0.0000
Pa1 0.0000 0.0000 0.5000
Pa2 0.0000 0.5000 0.0000
Pa3 0.5000 0.0000 0.0000
Pa4 0.5000 0.5000 0.5000
Fe1 0.2500 0.2500 0.2500
Fe2 0.2500 0.2500 0.7500
Fe3 0.2500 0.7500 0.2500
Fe4 0.2500 0.7500 0.7500
Fe5 0.7500 0.2500 0.2500
Fe6 0.7500 0.2500 0.7500
Fe7 0.7500 0.7500 0.2500
Fe8 0.7500 0.7500 0.7500

***

Stability verdict: w, ahead by 0.219 eV/atom